MgHg2Se (SCAN, single point on PBEsol structure); DOS(E_F) = 0.036 states/eV per atom; formation energy (no corrections) = -0.524 eV per atom
1.0
3.654 0.000 0.000
0.000 3.654 0.000
0.000 0.000 8.167
Se Mg Hg
1 1 2
Cartesian
1.827 1.827 4.933
0.000 0.000 5.394
1.827 1.827 1.864
0.000 0.000 0.060